The following is a PBE calculation of a geometry-optimized MgHgTe3 structure, from Alexandria.

Cell lengths 5.5175, 5.5175, 5.5175 Å; angles 90.00, 90.00, 90.00 degrees
Atoms (fractional coordinates):
Mg: 0.0000 0.0000 0.0000
Hg: 0.5000 0.5000 0.5000
Te: 0.0000 0.0000 0.5000
Te: 0.0000 0.5000 0.0000
Te: 0.5000 0.0000 0.0000

E_form (uncorrected) = 112.0 kJ/mol of formula units
Space group = Pm-3m

The following is a PBE calculation of a geometry-optimized CaThI6 structure, from Alexandria.

Cell lengths 8.2698, 8.2698, 7.6941 Å; angles 98.32, 98.32, 124.57 degrees
Atoms (fractional coordinates):
Ca: 0.0000 0.0000 0.0000
Th: 0.5000 0.5000 0.5000
I: 0.1075 0.4020 0.2530
I: 0.2537 0.2537 0.7432
I: 0.4020 0.1075 0.2530
I: 0.5980 0.8925 0.7470
I: 0.7463 0.7463 0.2568
I: 0.8925 0.5980 0.7470

E_form (uncorrected) = -1037.2 kJ/mol of formula units
Space group = C2/m

The following is a PBE calculation of a geometry-optimized La8PmHo5 structure, from Alexandria.

Cell lengths 8.6562, 8.6562, 9.2429 Å; angles 121.49, 121.49, 81.59 degrees
Atoms (fractional coordinates):
La: 0.0632 0.0632 0.2822
La: 0.1001 0.2841 0.7677
La: 0.3704 0.4950 0.7116
La: 0.5050 0.6296 0.2884
La: 0.5626 0.1293 0.9514
La: 0.7159 0.8999 0.2323
La: 0.8707 0.4374 0.0486
La: 0.9368 0.9368 0.7178
Pm: 0.2146 0.7854 0.0000
Ho: 0.2281 0.7719 0.5000
Ho: 0.3367 0.2870 0.2479
Ho: 0.5426 0.1063 0.5424
Ho: 0.7130 0.6633 0.7521
Ho: 0.8937 0.4574 0.4576

Formation enthalpy at 0 K = 2.2 eV/f.u.
Space group = C2

The following is a PBE calculation of a geometry-optimized SnBIrRu2 structure, from Alexandria.

Cell lengths 4.1694, 4.1694, 4.1257 Å; angles 90.00, 90.00, 90.00 degrees
Atoms (fractional coordinates):
Sn: 0.0000 0.0000 0.0000
B: 0.5000 0.5000 0.5000
Ir: 0.5000 0.5000 0.0000
Ru: 0.0000 0.5000 0.5000
Ru: 0.5000 0.0000 0.5000

Formation enthalpy at 0 K = -0.5 eV/f.u.
Space group = P4/mmm

Number 1: magnetic moment 0.00 μB per cell. Number 2: magnetic moment 0.00 μB per cell. Number 3: magnetic moment 0.00 μB per cell. Number 4: magnetic moment 0.00 μB per cell.